(1)
The following is a DFT calculation (SCAN) of a PBEsol-optimized structure of KSn2Sb2.

a b c (Å): 5.336 5.336 7.159
angles (deg): 111.88 111.88 90.00
Atoms (fractional coordinates):
Sb1 0.638 0.638 0.275
Sn1 0.250 0.750 0.500
K1 0.000 0.000 0.000
Sb2 0.362 0.362 0.725
Sn2 0.750 0.250 0.500

D(E_F) in states/eV/cell: 1.76
E_tot in eV/atom: -31.0722
SG: I4/mmm (139)


(2)
The following is a DFT calculation (SCAN) of a PBEsol-optimized structure of Pr3Ga5O12.

a b c (Å): 10.872 10.872 10.872
angles (deg): 109.47 109.47 109.47
Atoms (fractional coordinates):
Ga1 0.250 0.875 0.625
Ga2 0.125 0.875 0.250
O1 0.404 0.522 0.321
O2 0.904 0.321 0.522
O3 0.701 0.618 0.022
O4 0.417 0.618 0.596
O5 0.118 0.201 0.522
O6 0.179 0.583 0.701
O7 0.583 0.382 0.404
O8 0.404 0.882 0.583
Pr1 0.875 0.250 0.125
O9 0.882 0.799 0.478
O10 0.022 0.904 0.821
O11 0.478 0.179 0.096
Pr2 0.875 0.625 0.250
O12 0.917 0.321 0.799
O13 0.299 0.917 0.821
O14 0.083 0.404 0.382
O15 0.978 0.882 0.299
Ga3 0.625 0.250 0.875
Ga4 0.500 0.000 0.500
Ga5 0.750 0.625 0.875
Ga6 0.000 0.000 0.500
O16 0.096 0.417 0.118
Pr3 0.125 0.750 0.875
O17 0.179 0.596 0.978
O18 0.618 0.096 0.917
O19 0.201 0.179 0.083
O20 0.904 0.583 0.882
O21 0.679 0.701 0.583
O22 0.821 0.417 0.299
O23 0.201 0.022 0.618
Pr4 0.750 0.875 0.125
O24 0.299 0.382 0.978
Ga7 0.500 0.000 0.000
Ga8 0.625 0.375 0.250
O25 0.679 0.978 0.596
O26 0.022 0.118 0.701
Ga9 0.750 0.125 0.375
Ga10 0.375 0.750 0.125
O27 0.821 0.404 0.022
Pr5 0.250 0.625 0.375
Pr6 0.625 0.750 0.375
Pr7 0.375 0.250 0.625
Ga11 0.875 0.125 0.750
O28 0.799 0.978 0.382
O29 0.917 0.596 0.618
O30 0.618 0.522 0.201
O31 0.118 0.917 0.096
O32 0.596 0.478 0.679
Ga12 0.000 0.000 0.000
O33 0.321 0.299 0.417
Ga13 0.250 0.375 0.125
Pr8 0.250 0.125 0.875
O34 0.596 0.118 0.417
O35 0.382 0.904 0.083
O36 0.882 0.083 0.904
Pr9 0.125 0.375 0.750
O37 0.417 0.799 0.321
O38 0.522 0.821 0.904
Ga14 0.125 0.250 0.375
Pr10 0.750 0.375 0.625
Pr11 0.375 0.125 0.250
O39 0.321 0.022 0.404
Ga15 0.500 0.500 0.500
O40 0.583 0.201 0.679
O41 0.978 0.096 0.179
Pr12 0.625 0.875 0.750
Ga16 0.500 0.500 0.000
O42 0.799 0.821 0.917
Ga17 0.375 0.625 0.750
O43 0.522 0.701 0.118
O44 0.382 0.478 0.799
Ga18 0.875 0.750 0.625
O45 0.701 0.083 0.179
O46 0.478 0.299 0.882
Ga19 0.000 0.500 0.000
Ga20 0.000 0.500 0.500
O47 0.096 0.679 0.478
O48 0.083 0.679 0.201

D(E_F) in states/eV/cell: 0.00
E_tot in eV/atom: -17.0582
SG: Ia-3d (230)


(3)
The following is a DFT calculation (SCAN) of a PBEsol-optimized structure of WBr2Cl.

a b c (Å): 3.191 3.191 10.057
angles (deg): 80.87 80.87 60.00
Atoms (fractional coordinates):
Br1 0.895 0.895 0.314
Cl1 0.000 0.000 0.000
Br2 0.105 0.105 0.686
W1 0.500 0.500 0.500

Polymorph energy (0 for the lowest one) in kJ/mol of atoms: 19.95
D(E_F) in states/eV/cell: 2.68
E_tot in eV/atom: -28.8326
SG: R-3m (166)


(4)
The following is a DFT calculation (SCAN) of a PBEsol-optimized structure of CoTcHgAs2.

a b c (Å): 4.663 4.663 4.769
angles (deg): 90.00 90.00 90.00
Atoms (fractional coordinates):
Co1 0.000 0.000 0.500
Hg1 0.500 0.500 0.500
Tc1 0.000 0.000 0.000
As1 0.500 0.000 0.000
As2 0.000 0.500 0.000

Energy relative to the elements in meV/atom: 634
D(E_F) in states/eV/cell: 4.25
E_tot in eV/atom: -31.5485
SG: P4/mmm (123)